[1]
Here is crystalline Zn3Cu6Ge at its relaxed geometry from the Alexandria database. Energies are from PBE.

a b c (Å): 9.4767 2.6935 10.6249
angles (deg): 90.00 100.27 90.00
With the nearest neighbours (Å) after each atom.
Space group P2_1/m (No. 11)
Asymmetric unit:
Zn1 0.0792 0.2500 0.0995 [2 per cell]  8 Cu 2.50-2.68, 4 Zn 2.69-2.72
Zn2 0.1296 0.7500 0.4988 [2 per cell]  7 Cu 2.45-2.66, 2 Zn 2.69
Zn3 0.4198 0.2500 0.9045 [2 per cell]  6 Cu 2.49-2.62, 4 Zn 2.67-2.69
Cu1 0.0073 0.7500 0.6915 [2 per cell]  4 Zn 2.50-2.58, 7 Cu 2.56-2.69
Cu2 0.1527 0.2500 0.8748 [2 per cell]  4 Zn 2.49-2.63, 8 Cu 2.56-2.69
Cu3 0.2296 0.7500 0.2975 [2 per cell]  3 Zn 2.49-2.68, 2 Ge 2.55, 5 Cu 2.63-2.69
Cu4 0.2807 0.7500 0.7120 [2 per cell]  3 Zn 2.45-2.60, 1 Ge 2.50, 5 Cu 2.56-2.69
Cu5 0.3018 0.7500 0.0698 [2 per cell]  5 Zn 2.57-2.62, 5 Cu 2.63-2.69, 2 Ge 2.86
Cu6 0.3741 0.2500 0.5157 [2 per cell]  2 Zn 2.66, 3 Ge 2.66-2.74, 8 Cu 2.69-2.82
Ge1 0.4562 0.2500 0.2889 [2 per cell]  6 Cu 2.50-2.74, 2 Ge 2.69

Values from the calculation:
Calculated volume   13.34 Å³/atom
Formation energy from the elements   0.0128 eV per atom
Energy above the most stable polymorph in this dataset   46 meV/atom
E_tot   -3.2888 eV per atom

***

[2]
Here is crystalline CaSiO2 at its relaxed geometry from the Alexandria database. Energies are from PBE.

a b c (Å): 3.3468 3.3468 17.5229
angles (deg): 90.00 90.00 120.00
With the nearest neighbours (Å) after each atom.
Space group R-3m (No. 166, hexagonal axes)
Asymmetric unit:
Ca1 0.0000 0.0000 0.0000 [3 per cell]  6 O 2.30
Si1 0.0000 0.0000 0.5000 [3 per cell]  2 O 1.67
O1 0.0000 0.0000 0.4048 [6 per cell]  1 Si 1.67

Values from the calculation:
Calculated volume   14.16 Å³/atom
Uncorrected formation energy   -2085 meV/atom
E_tot   -6.4203 eV per atom

***

[3]
Here is crystalline FeAgAs2 at its relaxed geometry from the Alexandria database. Energies are from PBE.

a b c (Å): 2.7827 3.8852 6.8714
angles (deg): 90.00 100.43 90.00
With the nearest neighbours (Å) after each atom.
Space group Pm (No. 6)
Asymmetric unit:
Fe1 0.0000 0.0000 0.0000 [1 per cell]  5 As 2.63-2.88, 2 Fe 2.78, 4 Ag 2.85
Ag1 0.3961 0.5000 0.7698 [1 per cell]  5 As 2.73, 2 Ag 2.78, 4 Fe 2.85
As1 0.5961 0.5000 0.1735 [1 per cell]  4 Fe 2.63-2.69, 1 Ag 2.73, 2 As 2.78
As2 0.8074 0.0000 0.5746 [1 per cell]  4 Ag 2.73, 2 As 2.78, 1 Fe 2.88

Values from the calculation:
Calculated volume   18.27 Å³/atom
Formation energy from the elements   0.2574 eV per atom
Energy above the most stable polymorph in this dataset   209 meV/atom
E_tot   -4.8958 eV per atom

***

[4]
Here is crystalline ScCdFe4 at its relaxed geometry from the Alexandria database. Energies are from PBE.

a b c (Å): 6.9870 6.9870 6.9870
angles (deg): 90.00 90.00 90.00
With the nearest neighbours (Å) after each atom.
Space group F-43m (No. 216)
Asymmetric unit:
Sc1 0.0000 0.0000 0.0000 [4 per cell]  12 Fe 2.90, 4 Cd 3.03
Cd1 0.2500 0.2500 0.2500 [4 per cell]  12 Fe 2.90, 4 Sc 3.03
Fe1 0.1252 0.1252 0.6252 [16 per cell]  6 Fe 2.47

Values from the calculation:
Calculated volume   14.21 Å³/atom
Formation energy from the elements   -0.0560 eV per atom
E_tot   -6.9055 eV per atom

***

[5]
Here is crystalline KW at its relaxed geometry from the Alexandria database. Energies are from PBE.

a b c (Å): 15.1088 3.2184 8.5826
angles (deg): 90.00 103.55 90.00
With the nearest neighbours (Å) after each atom.
Space group Cm (No. 8)
Asymmetric unit:
K1 0.0000 0.0000 0.0000 [2 per cell]  2 K 3.22
K2 0.0430 0.0000 0.4850 [2 per cell]  2 K 3.22
K3 0.3088 0.0000 0.6228 [2 per cell]  2 K 3.22
W1 0.2047 0.5000 0.2428 [2 per cell]  3 W 2.49-2.51
W2 0.2351 0.5000 0.9704 [2 per cell]  3 W 2.49-2.53
W3 0.3195 0.0000 0.1801 [2 per cell]  4 W 2.51-2.53

Values from the calculation:
Calculated volume   33.81 Å³/atom
Formation energy from the elements   1.2241 eV per atom
Energy above the most stable polymorph in this dataset   301 meV/atom
E_tot   -5.8012 eV per atom

***

[6]
Here is crystalline KAc2TbSe4 at its relaxed geometry from the Alexandria database. Energies are from PBE.

a b c (Å): 7.5540 4.3700 7.7114
angles (deg): 90.00 109.01 90.00
With the nearest neighbours (Å) after each atom.
Space group P2/m (No. 10)
Asymmetric unit:
K1 0.0000 0.0000 0.0000 [1 per cell]  6 Se 3.11-3.14
Ac1 0.5000 0.0000 0.5000 [1 per cell]  6 Se 3.09-3.11
Ac2 0.5000 0.5000 0.0000 [1 per cell]  6 Se 3.22
Tb1 0.0000 0.5000 0.5000 [1 per cell]  6 Se 2.99-3.00
Se1 0.2323 0.0000 0.7326 [2 per cell]  2 Tb 3.00, 3 Ac 3.11-3.22, 1 K 3.11
Se2 0.2450 0.5000 0.2637 [2 per cell]  1 Tb 2.99, 3 Ac 3.09-3.22, 2 K 3.14

Values from the calculation:
Calculated volume   30.08 Å³/atom
Uncorrected formation energy   -1747 meV/atom
E_tot   -5.2326 eV per atom